Compound: SrTlIr2
Source: the Alexandria database
Functional: PBE
Structure: optimized geometry

Summary:
E above lowest polymorph	300.3	meV/atom
ΔH_f (0 K)	36	kJ/mol of atoms
mass density	13.30	g/cm3

Cell: 3.1517 4.0372 6.6379 Å, 90.00 90.00 90.00°
Sites, in units of the cell vectors:
Sr  0.0000  0.0000  0.0000
Tl  0.0000  0.0000  0.5000
Ir  0.5000  0.5000  0.2966
Ir  0.5000  0.5000  0.7034